[1]
Here is a relaxed structure of DyRhAu2 from the Alexandria database. Energies are from PBE.

a = 4.238 Å, b = 7.756 Å, c = 5.274 Å
α = 90.00°, β = 113.55°, γ = 90.00°
Fractional coordinates of all 8 atoms:
Dy  0.065  0.250  0.129
Dy  0.935  0.750  0.871
Rh  0.235  0.750  0.469
Rh  0.765  0.250  0.531
Au  0.363  0.060  0.728
Au  0.363  0.440  0.728
Au  0.637  0.560  0.272
Au  0.637  0.940  0.272

Density in g/cm³: 13.778
M_tot in μB per formula unit: 0.0
Energy of formation in meV/atom: -582
D(E_F) in states/eV/atom: 0.52

=====

[2]
Here is a relaxed structure of Sm4CuSn8 from the Alexandria database. Energies are from PBE.

a = 4.414 Å, b = 4.478 Å, c = 17.390 Å
α = 90.00°, β = 90.00°, γ = 90.00°
Fractional coordinates of all 13 atoms:
Sm  0.000  0.000  0.000
Sm  0.000  0.500  0.486
Sm  0.500  0.000  0.789
Sm  0.500  0.500  0.289
Cu  0.000  0.500  0.712
Sn  0.000  0.000  0.325
Sn  0.000  0.000  0.629
Sn  0.000  0.500  0.143
Sn  0.000  0.500  0.857
Sn  0.500  0.000  0.147
Sn  0.500  0.000  0.441
Sn  0.500  0.500  0.627
Sn  0.500  0.500  0.969

Density in g/cm³: 7.800
M_tot in μB per formula unit: 0.0
Energy of formation in meV/atom: -580
D(E_F) in states/eV/atom: 0.42

=====

[3]
Here is a relaxed structure of SmLu2Re from the Alexandria database. Energies are from PBE.

a = 3.193 Å, b = 3.193 Å, c = 33.682 Å
α = 90.00°, β = 90.00°, γ = 120.00°
Fractional coordinates of all 12 atoms:
Sm  0.000  0.000  0.000
Sm  0.333  0.667  0.667
Sm  0.667  0.333  0.333
Lu  0.000  0.000  0.421
Lu  0.000  0.000  0.579
Lu  0.333  0.667  0.088
Lu  0.333  0.667  0.246
Lu  0.667  0.333  0.754
Lu  0.667  0.333  0.912
Re  0.000  0.000  0.500
Re  0.333  0.667  0.167
Re  0.667  0.333  0.833

Density in g/cm³: 11.502
M_tot in μB per formula unit: 0.0
Energy of formation in meV/atom: 749
D(E_F) in states/eV/atom: 1.16

=====

[4]
Here is a relaxed structure of Mn4ZnW from the Alexandria database. Energies are from PBE.

a = 4.714 Å, b = 4.714 Å, c = 4.714 Å
α = 60.00°, β = 60.00°, γ = 60.00°
Fractional coordinates of all 6 atoms:
Mn  0.124  0.124  0.124
Mn  0.124  0.124  0.628
Mn  0.124  0.628  0.124
Mn  0.628  0.124  0.124
Zn  0.750  0.750  0.750
W  0.500  0.500  0.500

Density in g/cm³: 10.515
M_tot in μB per formula unit: 3.2
Energy of formation in meV/atom: 63
D(E_F) in states/eV/atom: 1.00

=====

[5]
Here is a relaxed structure of KHgSb2Te4 from the Alexandria database. Energies are from PBE.

a = 7.613 Å, b = 7.613 Å, c = 16.809 Å
α = 90.00°, β = 90.00°, γ = 145.12°
Fractional coordinates of all 16 atoms:
K  0.127  0.873  0.750
K  0.873  0.127  0.250
Hg  0.174  0.826  0.250
Hg  0.826  0.174  0.750
Sb  0.369  0.631  0.563
Sb  0.369  0.631  0.937
Sb  0.631  0.369  0.063
Sb  0.631  0.369  0.437
Te  0.000  0.000  0.000
Te  0.000  0.000  0.500
Te  0.273  0.727  0.099
Te  0.273  0.727  0.401
Te  0.445  0.555  0.750
Te  0.555  0.445  0.250
Te  0.727  0.273  0.599
Te  0.727  0.273  0.901

Density in g/cm³: 5.923
E_form (uncorrected) in eV per atom: -0.2362
M_tot in μB per formula unit: 0.0
D(E_F) in states/eV/atom: 0.25

=====

[6]
Here is a relaxed structure of AcTb3NdY from the Alexandria database. Energies are from PBE.

a = 10.614 Å, b = 10.614 Å, c = 7.235 Å
α = 90.10°, β = 90.10°, γ = 31.45°
Fractional coordinates of all 12 atoms:
Ac  0.145  0.145  0.034
Ac  0.855  0.855  0.966
Tb  0.021  0.021  0.730
Tb  0.281  0.281  0.745
Tb  0.337  0.337  0.265
Tb  0.663  0.663  0.735
Tb  0.719  0.719  0.255
Tb  0.979  0.979  0.270
Nd  0.148  0.148  0.476
Nd  0.852  0.852  0.524
Y  0.444  0.444  0.706
Y  0.556  0.556  0.294

Density in g/cm³: 7.317
M_tot in μB per formula unit: 0.0
Energy of formation in meV/atom: 241
D(E_F) in states/eV/atom: 1.49

=====

[7]
Here is a relaxed structure of PmTm2Os from the Alexandria database. Energies are from PBE.

a = 7.460 Å, b = 8.948 Å, c = 6.339 Å
α = 90.00°, β = 90.00°, γ = 90.00°
Fractional coordinates of all 16 atoms:
Pm  0.038  0.250  0.126
Pm  0.462  0.750  0.626
Pm  0.538  0.250  0.374
Pm  0.962  0.750  0.874
Tm  0.173  0.064  0.661
Tm  0.173  0.436  0.661
Tm  0.327  0.564  0.161
Tm  0.327  0.936  0.161
Tm  0.673  0.064  0.839
Tm  0.673  0.436  0.839
Tm  0.827  0.564  0.339
Tm  0.827  0.936  0.339
Os  0.118  0.750  0.449
Os  0.382  0.250  0.949
Os  0.618  0.750  0.051
Os  0.882  0.250  0.551

Density in g/cm³: 10.566
M_tot in μB per formula unit: 0.0
Relative energy among the computed polymorphs in eV/f.u.: 0.000
Energy of formation in meV/atom: -250
D(E_F) in states/eV/atom: 0.89

=====

[8]
Here is a relaxed structure of La3TbTh4S8 from the Alexandria database. Energies are from PBE.

a = 8.192 Å, b = 8.192 Å, c = 8.192 Å
α = 59.09°, β = 59.09°, γ = 59.09°
Fractional coordinates of all 16 atoms:
La  0.000  0.500  0.500
La  0.500  0.000  0.500
La  0.500  0.500  0.000
Tb  0.000  0.000  0.000
Th  0.000  0.000  0.500
Th  0.000  0.500  0.000
Th  0.500  0.000  0.000
Th  0.500  0.500  0.500
S  0.242  0.755  0.755
S  0.245  0.245  0.758
S  0.245  0.758  0.245
S  0.248  0.248  0.248
S  0.752  0.752  0.752
S  0.755  0.242  0.755
S  0.755  0.755  0.242
S  0.758  0.245  0.245

Density in g/cm³: 7.678
E_form (uncorrected) in eV per atom: -1.9763
M_tot in μB per formula unit: 0.0
D(E_F) in states/eV/atom: 0.35

=====

[9]
Here is a relaxed structure of PmSnBi3 from the Alexandria database. Energies are from PBE.

a = 10.248 Å, b = 10.248 Å, c = 6.273 Å
α = 90.80°, β = 90.80°, γ = 86.58°
Fractional coordinates of all 20 atoms:
Pm  0.111  0.340  0.330
Pm  0.340  0.111  0.830
Pm  0.660  0.889  0.170
Pm  0.889  0.660  0.670
Sn  0.099  0.901  0.750
Sn  0.454  0.546  0.250
Sn  0.546  0.454  0.750
Sn  0.901  0.099  0.250
Bi  0.023  0.218  0.829
Bi  0.193  0.635  0.496
Bi  0.218  0.023  0.329
Bi  0.239  0.433  0.872
Bi  0.365  0.807  0.004
Bi  0.433  0.239  0.372
Bi  0.567  0.761  0.628
Bi  0.635  0.193  0.996
Bi  0.761  0.567  0.128
Bi  0.782  0.977  0.671
Bi  0.807  0.365  0.504
Bi  0.977  0.782  0.171

Density in g/cm³: 8.998
M_tot in μB per formula unit: 0.0
Energy of formation in meV/atom: -239
D(E_F) in states/eV/atom: 0.56

=====

[10]
Here is a relaxed structure of Y3ErTh2 from the Alexandria database. Energies are from PBE.

a = 9.352 Å, b = 9.352 Å, c = 6.507 Å
α = 90.00°, β = 90.00°, γ = 136.16°
Fractional coordinates of all 12 atoms:
Y  0.072  0.428  0.750
Y  0.146  0.854  0.750
Y  0.428  0.072  0.250
Y  0.572  0.928  0.750
Y  0.854  0.146  0.250
Y  0.928  0.572  0.250
Er  0.354  0.646  0.250
Er  0.646  0.354  0.750
Th  0.251  0.251  0.000
Th  0.251  0.251  0.500
Th  0.749  0.749  0.000
Th  0.749  0.749  0.500

Density in g/cm³: 7.567
M_tot in μB per formula unit: 0.0
Energy of formation in meV/atom: 177
D(E_F) in states/eV/atom: 1.29

=====

[11]
Here is a relaxed structure of CePaTl2 from the Alexandria database. Energies are from PBE.

a = 4.767 Å, b = 4.767 Å, c = 4.733 Å
α = 90.00°, β = 90.00°, γ = 90.00°
Fractional coordinates of all 4 atoms:
Ce  0.000  0.000  0.000
Pa  0.500  0.500  0.000
Tl  0.000  0.500  0.500
Tl  0.500  0.000  0.500

Density in g/cm³: 12.039
M_tot in μB per formula unit: 1.9
Relative energy among the computed polymorphs in eV/f.u.: 0.000
Energy of formation in meV/atom: 29
D(E_F) in states/eV/atom: 2.57

=====

[12]
Here is a relaxed structure of In2HgGe from the Alexandria database. Energies are from PBE.

a = 4.211 Å, b = 4.211 Å, c = 20.647 Å
α = 90.00°, β = 90.00°, γ = 120.00°
Fractional coordinates of all 12 atoms:
In  0.000  0.000  0.239
In  0.000  0.000  0.761
In  0.333  0.667  0.428
In  0.333  0.667  0.906
In  0.667  0.333  0.094
In  0.667  0.333  0.572
Hg  0.000  0.000  0.000
Hg  0.333  0.667  0.667
Hg  0.667  0.333  0.333
Ge  0.000  0.000  0.500
Ge  0.333  0.667  0.167
Ge  0.667  0.333  0.833

Density in g/cm³: 7.902
M_tot in μB per formula unit: 0.0
Relative energy among the computed polymorphs in eV/f.u.: 0.000
Energy of formation in meV/atom: 92
D(E_F) in states/eV/atom: 0.35

=====

[13]
Here is a relaxed structure of Ac2Zn5Pd from the Alexandria database. Energies are from PBE.

a = 8.761 Å, b = 8.761 Å, c = 9.312 Å
α = 90.00°, β = 90.00°, γ = 150.11°
Fractional coordinates of all 16 atoms:
Ac  0.000  0.000  0.000
Ac  0.000  0.000  0.500
Ac  0.197  0.803  0.750
Ac  0.803  0.197  0.250
Zn  0.186  0.814  0.111
Zn  0.186  0.814  0.389
Zn  0.346  0.654  0.014
Zn  0.346  0.654  0.486
Zn  0.403  0.597  0.750
Zn  0.597  0.403  0.250
Zn  0.654  0.346  0.514
Zn  0.654  0.346  0.986
Zn  0.814  0.186  0.611
Zn  0.814  0.186  0.889
Pd  0.442  0.558  0.250
Pd  0.558  0.442  0.750

Density in g/cm³: 8.276
M_tot in μB per formula unit: 0.0
Energy of formation in meV/atom: -411
D(E_F) in states/eV/atom: 0.69